(1)
Entry from Alexandria: a relaxed structure of Nb2AgHRh (GGA-PBE).

The structure belongs to space group P4/mmm (No. 123); the cell edges are 4.075, 4.075 and 4.185 Å and the angles 90.00°, 90.00° and 90.00°. Symmetry generates all atoms from Nb at (0.000, 0.500, 0.000), Ag at (0.000, 0.000, 0.500), H at (0.000, 0.000, 0.000) and Rh at (0.500, 0.500, 0.500).

The energy is -33.84 eV/cell. For the excess energy over the best structure of this formula in the dataset, the calculation gives 34 meV per atom. The density of states at the Fermi level is 2.9 states/eV per cell.



(2)
Entry from Alexandria: a relaxed structure of Nb2AgHRu (GGA-PBE).

The structure belongs to space group P4/mmm (No. 123); the cell edges are 4.118, 4.118 and 4.067 Å and the angles 90.00°, 90.00° and 90.00°. Symmetry generates all atoms from Nb at (0.000, 0.500, 0.000), Ag at (0.000, 0.000, 0.500), H at (0.500, 0.500, 0.000) and Ru at (0.500, 0.500, 0.500).

The energy is -35.48 eV/cell. The density of states at the Fermi level is 3.4 states/eV per cell.